A) Computed, not measured: an optimized crystal structure of GdPa2Os at the PBE level of DFT.

Cell: 3.626 3.626 7.466 Å, 90.00 90.00 90.00°
Positions (direct):
Gd 0.000 0.000 0.000
Pa 0.500 0.500 0.308
Pa 0.500 0.500 0.692
Os 0.000 0.000 0.500

---

B) Computed, not measured: an optimized crystal structure of GdPa2Os at the PBE level of DFT.

Cell: 9.169 9.169 9.169 Å, 23.56 23.56 23.56°
Positions (direct):
Gd 0.000 0.000 0.000
Pa 0.230 0.230 0.230
Pa 0.770 0.770 0.770
Os 0.500 0.500 0.500

---

Energies relative to the most stable structure are A) 0.0; B) 6.7, reported in kJ/mol of atoms.

---

A) Computed, not measured: an optimized crystal structure of GdPaOs2 at the PBE level of DFT.

Cell: 3.493 3.493 6.807 Å, 90.00 90.00 90.00°
Positions (direct):
Gd 0.000 0.000 0.000
Pa 0.000 0.000 0.500
Os 0.500 0.500 0.277
Os 0.500 0.500 0.723

---

B) Computed, not measured: an optimized crystal structure of GdPaOs2 at the PBE level of DFT.

Cell: 4.872 4.872 4.872 Å, 60.00 60.00 60.00°
Positions (direct):
Gd 0.000 0.000 0.000
Pa 0.500 0.500 0.500
Os 0.250 0.250 0.250
Os 0.750 0.750 0.750

---

Energies relative to the most stable structure are A) 0.0; B) 7.4, reported in kJ/mol of atoms.

---

A) Computed, not measured: an optimized crystal structure of Pm2GdOs at the PBE level of DFT.

Cell: 11.083 11.083 11.083 Å, 18.59 18.59 18.59°
Positions (direct):
Pm 0.106 0.106 0.106
Pm 0.894 0.894 0.894
Gd 0.000 0.000 0.000
Os 0.500 0.500 0.500

---

B) Computed, not measured: an optimized crystal structure of Pm2GdOs at the PBE level of DFT.

Cell: 3.480 3.480 9.522 Å, 90.00 90.00 90.00°
Positions (direct):
Pm 0.000 0.000 0.180
Pm 0.000 0.000 0.820
Gd 0.500 0.500 0.500
Os 0.500 0.500 0.000

---

Energies relative to the most stable structure are A) 31.0; B) 0.0, reported in kJ/mol of atoms.

---

A) Computed, not measured: an optimized crystal structure of PrGd2Os at the PBE level of DFT.

Cell: 6.047 6.047 6.047 Å, 46.51 46.51 46.51°
Positions (direct):
Pr 0.000 0.000 0.000
Gd 0.226 0.226 0.226
Gd 0.774 0.774 0.774
Os 0.500 0.500 0.500

---

B) Computed, not measured: an optimized crystal structure of PrGd2Os at the PBE level of DFT.

Cell: 3.450 3.450 9.441 Å, 90.00 90.00 90.00°
Positions (direct):
Pr 0.000 0.000 0.000
Gd 0.500 0.500 0.323
Gd 0.500 0.500 0.677
Os 0.000 0.000 0.500

---

Energies relative to the most stable structure are A) 21.9; B) 0.0, reported in kJ/mol of atoms.

---

A) Computed, not measured: an optimized crystal structure of GdPuOs2 at the PBE level of DFT.

Cell: 4.833 4.833 3.387 Å, 90.00 90.00 90.00°
Positions (direct):
Gd 0.000 0.000 0.000
Pu 0.500 0.500 0.000
Os 0.000 0.500 0.500
Os 0.500 0.000 0.500

---

B) Computed, not measured: an optimized crystal structure of GdPuOs2 at the PBE level of DFT.

Cell: 4.816 4.816 4.816 Å, 60.00 60.00 60.00°
Positions (direct):
Gd 0.000 0.000 0.000
Pu 0.500 0.500 0.500
Os 0.250 0.250 0.250
Os 0.750 0.750 0.750

---

Energies relative to the most stable structure are A) 1.3; B) 0.0, reported in kJ/mol of atoms.

---

A) Computed, not measured: an optimized crystal structure of GdScOs at the PBE level of DFT.

Cell: 6.723 6.723 6.723 Å, 151.52 151.52 40.71°
Positions (direct):
Gd 0.000 0.000 0.000
Sc 0.257 0.257 0.000
Os 0.641 0.641 0.000

---

B) Computed, not measured: an optimized crystal structure of GdScOs at the PBE level of DFT.

Cell: 4.659 4.659 4.659 Å, 60.00 60.00 60.00°
Positions (direct):
Gd 0.000 0.000 0.000
Sc 0.500 0.500 0.500
Os 0.750 0.750 0.750

---

Energies relative to the most stable structure are A) 0.0; B) 7.0, reported in kJ/mol of atoms.

---

A) Computed, not measured: an optimized crystal structure of SmGd2Os at the PBE level of DFT.

Cell: 5.819 5.819 5.819 Å, 48.82 48.82 48.82°
Positions (direct):
Sm 0.000 0.000 0.000
Gd 0.229 0.229 0.229
Gd 0.771 0.771 0.771
Os 0.500 0.500 0.500

---

B) Computed, not measured: an optimized crystal structure of SmGd2Os at the PBE level of DFT.

Cell: 3.431 3.431 9.382 Å, 90.00 90.00 90.00°
Positions (direct):
Sm 0.000 0.000 0.000
Gd 0.500 0.500 0.321
Gd 0.500 0.500 0.679
Os 0.000 0.000 0.500

---

Energies relative to the most stable structure are A) 21.2; B) 0.0, reported in kJ/mol of atoms.

---

A) Computed, not measured: an optimized crystal structure of Sm2GdOs at the PBE level of DFT.

Cell: 3.463 3.463 9.494 Å, 90.00 90.00 90.00°
Positions (direct):
Sm 0.000 0.000 0.179
Sm 0.000 0.000 0.821
Gd 0.500 0.500 0.500
Os 0.500 0.500 0.000

---

B) Computed, not measured: an optimized crystal structure of Sm2GdOs at the PBE level of DFT.

Cell: 11.067 11.067 11.067 Å, 18.46 18.46 18.46°
Positions (direct):
Sm 0.106 0.106 0.106
Sm 0.894 0.894 0.894
Gd 0.000 0.000 0.000
Os 0.500 0.500 0.500

---

Energies relative to the most stable structure are A) 0.0; B) 32.1, reported in kJ/mol of atoms.

---

A) Computed, not measured: an optimized crystal structure of GdTaOs2 at the PBE level of DFT.

Cell: 3.205 3.205 7.098 Å, 90.00 90.00 90.00°
Positions (direct):
Gd 0.000 0.000 0.000
Ta 0.000 0.000 0.500
Os 0.500 0.500 0.286
Os 0.500 0.500 0.714

---

B) Computed, not measured: an optimized crystal structure of GdTaOs2 at the PBE level of DFT.

Cell: 4.659 4.659 4.659 Å, 60.00 60.00 60.00°
Positions (direct):
Gd 0.000 0.000 0.000
Ta 0.500 0.500 0.500
Os 0.250 0.250 0.250
Os 0.750 0.750 0.750

---

Energies relative to the most stable structure are A) 0.0; B) 13.2, reported in kJ/mol of atoms.

---

A) Computed, not measured: an optimized crystal structure of TbGd2Os at the PBE level of DFT.

Cell: 3.415 3.415 9.354 Å, 90.00 90.00 90.00°
Positions (direct):
Tb 0.000 0.000 0.000
Gd 0.500 0.500 0.319
Gd 0.500 0.500 0.681
Os 0.000 0.000 0.500

---

B) Computed, not measured: an optimized crystal structure of TbGd2Os at the PBE level of DFT.

Cell: 10.973 10.973 10.973 Å, 18.33 18.33 18.33°
Positions (direct):
Tb 0.000 0.000 0.000
Gd 0.105 0.105 0.105
Gd 0.895 0.895 0.895
Os 0.500 0.500 0.500

---

Energies relative to the most stable structure are A) 0.0; B) 33.2, reported in kJ/mol of atoms.

---

A) Computed, not measured: an optimized crystal structure of TbGdOs at the PBE level of DFT.

Cell: 7.126 7.126 7.126 Å, 152.28 152.28 39.61°
Positions (direct):
Tb 0.000 0.000 0.000
Gd 0.751 0.751 0.000
Os 0.376 0.376 0.000

---

B) Computed, not measured: an optimized crystal structure of TbGdOs at the PBE level of DFT.

Cell: 4.805 4.805 4.805 Å, 60.00 60.00 60.00°
Positions (direct):
Tb 0.000 0.000 0.000
Gd 0.500 0.500 0.500
Os 0.250 0.250 0.250

---

Energies relative to the most stable structure are A) 0.0; B) 1.2, reported in kJ/mol of atoms.

---

A) Computed, not measured: an optimized crystal structure of Tb2GdOs at the PBE level of DFT.

Cell: 3.416 3.416 9.342 Å, 90.00 90.00 90.00°
Positions (direct):
Tb 0.000 0.000 0.179
Tb 0.000 0.000 0.821
Gd 0.500 0.500 0.500
Os 0.500 0.500 0.000

---

B) Computed, not measured: an optimized crystal structure of Tb2GdOs at the PBE level of DFT.

Cell: 5.127 5.127 5.127 Å, 60.00 60.00 60.00°
Positions (direct):
Tb 0.250 0.250 0.250
Tb 0.750 0.750 0.750
Gd 0.000 0.000 0.000
Os 0.500 0.500 0.500

---

Energies relative to the most stable structure are A) 0.0; B) 22.1, reported in kJ/mol of atoms.